# Li2VOsO6 PBE+U relaxed
data_Li2VOsO6
_symmetry_space_group_name_H-M 'P 4 m m'
_symmetry_Int_Tables_number 99
_symmetry_space_group_name_Hall 'P 4 -2'
_cell_length_a 5.429
_cell_length_b 5.429
_cell_length_c 3.818
_cell_angle_alpha 90.00
_cell_angle_beta 90.00
_cell_angle_gamma 90.00
loop_
_atom_site_label
_atom_site_fract_x
_atom_site_fract_y
_atom_site_fract_z
_atom_site_occupancy
Li1 0.000 0.500 0.000 1
V1 0.000 0.000 0.726 1
Os1 0.500 0.500 0.784 1
O1 0.000 0.000 0.284 1
O2 0.246 0.246 0.796 1
O3 0.500 0.500 0.286 1
# Crystal system: tetragonal
# V (Å³ per atom): 11.252
# E_tot (eV for the cell shown): -67.84

# LiVOsO6 PBE+U relaxed
data_LiVOsO6
_symmetry_space_group_name_H-M 'P -3 1 c'
_symmetry_Int_Tables_number 163
_symmetry_space_group_name_Hall '-P 3 2c'
_cell_length_a 5.0817
_cell_length_b 5.0817
_cell_length_c 9.3021
_cell_angle_alpha 90.00
_cell_angle_beta 90.00
_cell_angle_gamma 120.00
loop_
_atom_site_label
_atom_site_fract_x
_atom_site_fract_y
_atom_site_fract_z
_atom_site_occupancy
Li1 0.0000 0.0000 0.0000 1
V1 0.3333 0.6667 0.2500 1
Os1 0.3333 0.6667 0.7500 1
O1 0.0017 0.3691 0.1381 1
# Crystal system: trigonal
# V (Å³ per atom): 11.557
# E_tot (eV for the cell shown): -125.75